(1)
Compound: ThIrPd2
Source: the Alexandria database
Functional: PBE-GGA
Structure: optimized geometry

Unit cell a=4.747 b=4.747 c=4.747 alpha=60.00 beta=60.00 gamma=60.00
Element x y z (fractional)
Ir  0.000  0.000  0.000
Pd  0.750  0.750  0.750
Pd  0.250  0.250  0.250
Th  0.500  0.500  0.500

Summary:
As for the density: 13.98 g cm⁻³. Its space-group type is Fm-3m. The calculation puts the formation energy at -515 meV per atom. Its total magnetization is 0.00 μB/cell.

(2)
Compound: Th2Ir9Pd
Source: the Alexandria database
Functional: PBE-GGA
Structure: optimized geometry

Unit cell a=5.319 b=5.319 c=9.375 alpha=73.52 beta=73.52 gamma=60.00
Element x y z (fractional)
Th  0.868  0.868  0.396
Th  0.132  0.132  0.604
Ir  0.667  0.667  0.999
Ir  0.333  0.333  0.001
Ir  0.500  0.500  0.500
Ir  0.419  0.419  0.243
Ir  0.918  0.419  0.243
Ir  0.419  0.918  0.243
Ir  0.581  0.581  0.757
Ir  0.581  0.082  0.757
Ir  0.082  0.581  0.757
Pd  0.000  0.000  0.000

Summary:
As for the density: 17.60 g cm⁻³. Its space-group type is R-3m. The calculation puts the formation energy at -299 meV per atom. Its total magnetization is 0.00 μB/cell.

(3)
Compound: ThIrPd
Source: the Alexandria database
Functional: PBE-GGA
Structure: optimized geometry

Unit cell a=4.035 b=8.331 c=8.331 alpha=86.64 beta=75.99 gamma=75.99
Site moments in Bohr magnetons follow the coordinates.
Element x y z (fractional)
Th  0.281  0.219  0.219  0.06
Th  0.719  0.781  0.781  0.06
Th  0.500  0.219  0.781  0.06
Th  0.500  0.781  0.219  0.06
Ir  0.190  0.619  0.000  0.00
Ir  0.810  0.381  0.000  0.00
Ir  0.810  0.000  0.381  0.00
Ir  0.190  0.000  0.619  0.00
Pd  0.618  0.382  0.382  0.01
Pd  0.382  0.618  0.618  0.01
Pd  0.000  0.382  0.618  0.01
Pd  0.000  0.618  0.382  0.01

Summary:
As for the density: 13.37 g cm⁻³. Its space-group type is I4/mmm. The calculation puts the formation energy at -432 meV per atom. Its total magnetization is 0.55 μB/cell. Its offset from the most stable computed form is 181.1 meV per atom.

(4)
Compound: Th4Ir3Pd2
Source: the Alexandria database
Functional: PBE-GGA
Structure: optimized geometry

Unit cell a=5.858 b=8.543 c=8.543 alpha=78.74 beta=87.41 gamma=87.41
Element x y z (fractional)
Th  0.484  0.976  0.215
Th  0.016  0.785  0.024
Th  0.516  0.024  0.785
Th  0.984  0.215  0.976
Th  0.137  0.264  0.466
Th  0.363  0.534  0.736
Th  0.863  0.736  0.534
Th  0.637  0.466  0.264
Ir  0.986  0.984  0.267
Ir  0.514  0.733  0.016
Ir  0.014  0.016  0.733
Ir  0.486  0.267  0.984
Ir  0.250  0.635  0.365
Ir  0.750  0.365  0.635
Pd  0.662  0.134  0.457
Pd  0.838  0.542  0.866
Pd  0.338  0.866  0.543
Pd  0.162  0.458  0.134

Summary:
As for the density: 13.63 g cm⁻³. Its space-group type is C2/c. The calculation puts the formation energy at -803 meV per atom. Its total magnetization is 0.00 μB/cell.

(5)
Compound: Th4IrPd
Source: the Alexandria database
Functional: PBE-GGA
Structure: optimized geometry

Unit cell a=8.005 b=8.005 c=8.005 alpha=106.67 beta=106.67 gamma=115.24
Element x y z (fractional)
Th  0.260  0.964  0.704
Th  0.740  0.444  0.704
Th  0.714  0.510  0.204
Th  0.194  0.990  0.204
Th  0.305  0.510  0.796
Th  0.787  0.990  0.796
Th  0.740  0.037  0.296
Th  0.260  0.555  0.296
Ir  0.749  0.749  0.000
Ir  0.499  0.999  0.500
Pd  0.251  0.251  0.000
Pd  0.001  0.501  0.500

Summary:
As for the density: 10.40 g cm⁻³. Its space-group type is I4_1md. The calculation puts the formation energy at -272 meV per atom. Its total magnetization is 0.00 μB/cell. Its offset from the most stable computed form is 306.6 meV per atom.

(6)
Compound: Th4IrPd
Source: the Alexandria database
Functional: PBE-GGA
Structure: optimized geometry

Unit cell a=5.971 b=7.291 c=7.291 alpha=90.00 beta=90.00 gamma=90.00
Element x y z (fractional)
Th  0.000  0.170  0.659
Th  0.000  0.830  0.341
Th  0.000  0.341  0.170
Th  0.000  0.659  0.830
Th  0.500  0.830  0.659
Th  0.500  0.170  0.341
Th  0.500  0.659  0.170
Th  0.500  0.341  0.830
Ir  0.250  0.500  0.500
Ir  0.750  0.500  0.500
Pd  0.250  0.000  0.000
Pd  0.750  0.000  0.000

Summary:
As for the density: 12.83 g cm⁻³. Its space-group type is P4/mcc. The calculation puts the formation energy at -578 meV per atom. Its total magnetization is 0.00 μB/cell. Its offset from the most stable computed form is 0.0 meV per atom.

(7)
Compound: Th4IrPd3
Source: the Alexandria database
Functional: PBE-GGA
Structure: optimized geometry

Unit cell a=3.908 b=4.472 c=11.239 alpha=90.00 beta=90.00 gamma=90.00
Element x y z (fractional)
Ir  0.500  0.500  0.098
Pd  0.000  0.500  0.592
Pd  0.000  0.000  0.410
Pd  0.500  0.000  0.905
Th  0.500  0.500  0.356
Th  0.000  0.500  0.869
Th  0.000  0.000  0.135
Th  0.500  0.000  0.635

Summary:
As for the density: 12.17 g cm⁻³. Its space-group type is Pmm2. The calculation puts the formation energy at -823 meV per atom. Its total magnetization is 0.00 μB/cell.

(8)
Compound: TmThIrPd
Source: the Alexandria database
Functional: PBE-GGA
Structure: optimized geometry

Unit cell a=3.833 b=4.310 c=5.813 alpha=90.00 beta=109.25 gamma=90.00
Element x y z (fractional)
Tm  0.140  0.000  0.280
Th  0.865  0.500  0.730
Ir  0.405  0.000  0.811
Pd  0.590  0.500  0.180

Summary:
As for the density: 12.81 g cm⁻³. Its space-group type is Amm2. The calculation puts the formation energy at -964 meV per atom. Its total magnetization is 0.00 μB/cell. Its offset from the most stable computed form is 0.0 meV per atom.

> The highest density belongs to which entry?

Th2Ir9Pd